LiCa2NiN: optimized geometry, PBE-GGA.

Results
**Space group**: P4/mmm, No. 123
**DOS(E_F)**: 0.788 states/eV per cell
**E_form (uncorrected)**: -275.3 meV per atom
**Polymorph energy (0 for the lowest one)**: 65 meV per atom
**M_tot**: 0.09 Bohr magnetons per cell

Cell: 4.8387 4.8387 3.8883 Å, 90.00 90.00 90.00°
Closest atoms and distances in Å follow each position.
Fractional coordinates of all 5 atoms:
Ni 0.5000 0.5000 0.5000  8 Ca 3.10, 4 Li 3.42
Ca 0.0000 0.5000 0.0000  2 N 2.42
Ca 0.5000 0.0000 0.0000  2 N 2.42
Li 0.0000 0.0000 0.5000  2 N 1.94
N 0.0000 0.0000 0.0000  2 Li 1.94